Compound: LaY4Tm2
Source: Alexandria
Functional: PBE
Structure: relaxed

## Properties
For the total energy, the calculation gives -5.53 eV/atom. The energy relative to the lowest polymorph listed for this composition is 114.6 meV/atom. Its energy relative to the elements is 0.141 eV per atom. The magnetization is 0.00 μB/cell. The value obtained for the volume is 32.9 Å³ per atom.

Unit cell a=5.6410 b=9.7363 c=16.7786 alpha=90.00 beta=90.00 gamma=90.00
Last column: nearest neighbours and their distance in Å.
Space group Cmcm (No. 63)
One atom of each set of equivalent atoms:
La 0.0000 0.0029 0.2500  3 Y 3.25
Y 0.0000 0.0000 0.0000  6 Tm 3.38-3.39
Y 0.0000 0.3313 0.6432  4 Tm 3.34-3.57, 4 Y 3.59-3.72, 3 La 3.71
Y 0.0000 0.3364 0.2500  3 La 3.25, 2 Tm 3.26
Tm 0.0000 0.3342 0.0559  8 Y 3.26-3.57

Compound: Hf2NbSBr
Source: Alexandria
Functional: PBE
Structure: relaxed

## Properties
The energy relative to the elements, uncorrected is 0.4961 eV/atom. For the total energy, the calculation gives -6.66 eV/atom. The magnetization is 0.00 μB/cell. The value obtained for the volume is 25.4 Å³ per atom.

Unit cell a=5.2216 b=5.2216 c=4.6643 alpha=90.00 beta=90.00 gamma=90.00
Last column: nearest neighbours and their distance in Å.
Space group P4/mmm (No. 123)
One atom of each set of equivalent atoms:
Hf 0.0000 0.5000 0.0000  2 Nb 2.61
Nb 0.0000 0.0000 0.0000  2 S 2.33, 4 Hf 2.61
S 0.0000 0.0000 0.5000  2 Nb 2.33
Br 0.5000 0.5000 0.5000  8 Hf 3.50, 4 S 3.69

Compound: Li2AcTc2O7
Source: Alexandria
Functional: PBE
Structure: relaxed

## Properties
The energy relative to the elements, uncorrected is -1.9749 eV/atom. For the total energy, the calculation gives -7.26 eV/atom. The magnetization is 8.03 μB/cell. The value obtained for the volume is 12.0 Å³ per atom.

Unit cell a=3.9546 b=3.9546 c=18.4237 alpha=90.00 beta=90.00 gamma=90.00
Last column: nearest neighbours and their distance in Å.
Space group I4/mmm (No. 139)
One atom of each set of equivalent atoms:
Li 0.0000 0.5000 0.2500  4 O 2.06
Ac 0.0000 0.0000 0.0000  12 O 2.74-2.80
Tc 0.0000 0.0000 0.3839  5 O 1.88-1.99
O 0.0000 0.0000 0.2816  1 Tc 1.88, 4 Li 2.06
O 0.0000 0.0000 0.5000  2 Tc 2.14
O 0.0000 0.5000 0.1032  2 Tc 1.99